## AuCO2 (PBEsol)

Data for a relaxed AuCO2 crystal.

Geometry as POSCAR:
```
AuCO2
1.0
5.3841 0.0000 0.0000
0.0000 5.3841 0.0000
0.0000 0.0000 5.3841
Au C O
4 4 8
Direct
0.0000 0.0000 0.0000 Au
0.0000 0.5000 0.5000 Au
0.5000 0.0000 0.5000 Au
0.5000 0.5000 0.0000 Au
0.0000 0.0000 0.5000 C
0.0000 0.5000 0.0000 C
0.5000 0.0000 0.0000 C
0.5000 0.5000 0.5000 C
0.2500 0.2500 0.2500 O
0.2500 0.2500 0.7500 O
0.2500 0.7500 0.2500 O
0.2500 0.7500 0.7500 O
0.7500 0.2500 0.2500 O
0.7500 0.2500 0.7500 O
0.7500 0.7500 0.2500 O
0.7500 0.7500 0.7500 O
```

Summary:
Size of the total moment = 0.24 μB/atom
Electronic total energy = -66.259 eV for the cell shown